(1)
GGA-PBE OsRhS2N, relaxed; DOS(E_F) = 1.01 states/eV per atom; formation energy from raw total energies = 1331 meV per atom; excess energy over the best structure of this formula in the dataset = 2.70 eV per formula unit
1.0
4.748 0.000 0.000
0.000 4.748 0.000
0.000 0.000 3.543
Os Rh S N
1 1 2 1
direct
0.000 0.000 0.000 Os
0.500 0.500 0.500 Rh
0.000 0.500 0.500 S
0.500 0.000 0.500 S
0.500 0.500 0.000 N


(2)
GGA-PBE TaInSi, relaxed; DOS(E_F) = 0.99 states/eV per atom; formation energy from raw total energies = 685 meV per atom
1.0
0.000 3.200 3.200
3.200 0.000 3.200
3.200 3.200 0.000
Ta In Si
1 1 1
direct
0.000 0.000 0.000 Ta
0.750 0.750 0.750 In
0.250 0.250 0.250 Si


(3)
GGA-PBE Pm9Er4Tl11, relaxed; E_form = -0.2908 eV per atom; DOS(E_F) = 1.03 states/eV per atom
1.0
8.935 -10.780 0.000
8.935 10.780 0.000
0.000 0.000 3.595
Pm Er Tl
9 4 11
direct
0.000 0.000 0.000 Pm
0.124 0.642 0.000 Pm
0.292 0.466 0.000 Pm
0.358 0.876 0.000 Pm
0.466 0.292 0.000 Pm
0.534 0.708 0.000 Pm
0.642 0.124 0.000 Pm
0.708 0.534 0.000 Pm
0.876 0.358 0.000 Pm
0.068 0.236 0.000 Er
0.236 0.068 0.000 Er
0.764 0.932 0.000 Er
0.932 0.764 0.000 Er
0.083 0.430 0.500 Tl
0.134 0.866 0.500 Tl
0.261 0.261 0.500 Tl
0.330 0.670 0.500 Tl
0.430 0.083 0.500 Tl
0.500 0.500 0.500 Tl
0.570 0.917 0.500 Tl
0.670 0.330 0.500 Tl
0.739 0.739 0.500 Tl
0.866 0.134 0.500 Tl
0.917 0.570 0.500 Tl


(4)
GGA-PBE K2AgSn3, relaxed; E_form = -0.1941 eV per atom; DOS(E_F) = 0.40 states/eV per atom
1.0
6.081 -2.473 0.000
6.081 2.473 0.000
-6.000 0.000 6.151
K Ag Sn
2 1 3
direct
0.000 0.000 0.000 K
0.506 0.506 0.661 K
0.177 0.177 0.592 Ag
0.320 0.320 0.043 Sn
0.668 0.668 0.412 Sn
0.840 0.840 0.268 Sn


(5)
GGA-PBE Tb2AlRh, relaxed; E_form = -0.5383 eV per atom; DOS(E_F) = 0.87 states/eV per atom; excess energy over the best structure of this formula in the dataset = 0.33 eV per formula unit
1.0
0.000 3.545 3.545
3.545 0.000 3.545
3.545 3.545 0.000
Tb Al Rh
2 1 1
direct
0.250 0.250 0.250 Tb
0.750 0.750 0.750 Tb
0.000 0.000 0.000 Al
0.500 0.500 0.500 Rh


(6)
GGA-PBE VGa4, relaxed; E_form = 0.3963 eV per atom; DOS(E_F) = 0.86 states/eV per atom; excess energy over the best structure of this formula in the dataset = 2.39 eV per formula unit
1.0
4.855 0.000 0.000
0.000 4.855 0.000
0.000 0.000 4.855
V Ga
1 4
direct
0.000 0.000 0.000 V
0.000 0.000 0.500 Ga
0.000 0.500 0.000 Ga
0.500 0.000 0.000 Ga
0.500 0.500 0.500 Ga


Table of volume (Å³/cell), in record order: 79.9 65.5 692.4 185.0 89.1 114.4
Table of size of the total moment (μB/atom), in record order: 0.1204 0.0000 0.0115 0.0000 0.0000 0.0001